# 1
Computed, not measured: an optimized crystal structure of SbPtCl2 at the GGA-PBEsol level of DFT.

## Properties
E above lowest polymorph: 0.079 eV per atom

POSCAR file:
```
SbPtCl2
1.0
3.628 0.000 0.000
0.000 5.162 -0.006
0.000 -1.397 4.956
Cl Sb Pt
2 1 1
Cartesian
1.814 2.872 1.834
0.000 -1.357 4.876
1.814 0.709 3.231
0.000 1.326 4.919
```


# 2
Computed, not measured: an optimized crystal structure of SbPtCl at the GGA-PBEsol level of DFT.

POSCAR file:
```
SbPtCl
1.0
-0.297 4.533 -0.688
-1.571 2.733 3.342
2.872 2.847 2.180
Sb Cl Pt
1 1 1
Cartesian
0.251 2.528 1.209
0.000 0.000 0.000
0.502 5.056 2.417
```


# 3
Computed, not measured: an optimized crystal structure of SiSbPtCl2 at the GGA-PBEsol level of DFT.

POSCAR file:
```
SiSbPtCl2
1.0
-2.730 -3.278 2.371
2.623 -3.613 -1.974
3.532 0.195 4.336
Sb Si Cl Pt
1 1 2 1
Cartesian
0.000 0.000 0.000
1.766 0.098 2.168
-1.365 -1.639 1.186
1.311 -1.806 -0.987
1.712 -3.348 2.367
```


# 4
Computed, not measured: an optimized crystal structure of Sb2TePtCl at the GGA-PBEsol level of DFT.

POSCAR file:
```
Sb2TePtCl
1.0
5.235 0.000 0.000
0.000 5.235 0.000
0.000 0.000 5.258
Pt Sb Te Cl
1 2 1 1
Cartesian
0.000 0.000 0.000
2.618 0.000 0.000
0.000 2.618 0.000
0.000 0.000 2.629
2.618 2.618 2.629
```


# 5
Computed, not measured: an optimized crystal structure of Sc2PtCl at the GGA-PBEsol level of DFT.

## Properties
E above lowest polymorph: 0.000 eV per atom

POSCAR file:
```
Sc2PtCl
1.0
-0.054 0.581 3.678
0.521 -3.641 0.583
5.394 0.765 -0.042
Cl Sc Pt
1 2 1
Cartesian
0.000 0.000 0.000
0.234 -1.530 2.130
2.697 0.382 -0.021
2.931 -1.148 2.110
```


# 6
Computed, not measured: an optimized crystal structure of ScPtCl2 at the GGA-PBEsol level of DFT.

## Properties
E above lowest polymorph: 0.000 eV per atom

POSCAR file:
```
ScPtCl2
1.0
3.135 0.067 0.000
-0.066 3.135 0.000
0.000 0.000 7.773
Pt Cl Sc
1 2 1
Cartesian
0.000 0.000 3.696
0.000 0.000 0.489
1.535 1.601 5.405
1.535 1.601 2.070
```


We obtain Fermi-level density of states values of 0.49 0.90 4.01 7.67 3.00 2.75 states/eV/f.u. for the records listed above, in that order.
We obtain DFT total energy values of -16.98 -12.99 -16.72 -19.85 -26.68 -21.30 eV for the cell shown for the records listed above, in that order.